1.
TaVS2 | PBE-GGA | relaxed

Cell and atoms, written as POSCAR:
```
TaVS2
1.0
0.000 3.039 3.039
3.039 0.000 3.039
3.039 3.039 0.000
S Ta V
2 1 1
direct
0.250 0.250 0.250
0.750 0.750 0.750
0.500 0.500 0.500
0.000 0.000 0.000
```

Computed properties:
total magnetic moment = 1.9 μB per cell
N(E_F) = 2.152 states/eV/f.u.
uncorrected formation energy = -0.482 eV per atom
energy = -31.15 eV/cell
SG = No. 225
crystal system = cubic
energy above the lowest structure with this stoichiometry = 46 meV per atom

=====

2.
Ta2VS | PBE-GGA | relaxed

Cell and atoms, written as POSCAR:
```
Ta2VS
1.0
2.944 0.000 0.000
1.472 2.549 0.000
1.472 0.850 8.979
S V Ta
1 1 2
direct
0.500 0.500 0.500
0.000 0.000 0.000
0.095 0.095 0.714
0.905 0.905 0.286
```

Computed properties:
total magnetic moment = 0.0 μB per cell
N(E_F) = 3.446 states/eV/f.u.
uncorrected formation energy = 0.269 eV per atom
energy = -35.88 eV/cell
SG = No. 166
crystal system = trigonal

=====

3.
TaVS2 | PBE-GGA | relaxed

Cell and atoms, written as POSCAR:
```
TaVS2
1.0
6.340 1.846 5.006
7.805 1.384 2.413
6.569 4.073 2.987
S Ta V
2 1 1
direct
0.898 0.898 0.898
0.102 0.102 0.102
0.000 0.000 0.000
0.500 0.500 0.500
```

Computed properties:
total magnetic moment = 0.0 μB per cell
N(E_F) = 3.203 states/eV/f.u.
uncorrected formation energy = -0.457 eV per atom
energy = -31.05 eV/cell
SG = No. 166
crystal system = trigonal
energy above the lowest structure with this stoichiometry = 70 meV per atom

=====

4.
TaVS6 | PBE-GGA | relaxed

Cell and atoms, written as POSCAR:
```
TaVS6
1.0
5.961 0.112 0.594
3.078 5.196 0.567
3.489 2.008 5.713
Ta V S
1 1 6
direct
0.500 0.500 0.500
0.000 0.000 0.000
0.036 0.450 0.757
0.638 0.130 0.869
0.636 0.132 0.362
0.362 0.870 0.131
0.964 0.550 0.243
0.364 0.868 0.638
```

Computed properties:
total magnetic moment = 1.3 μB per cell
N(E_F) = 4.089 states/eV/f.u.
uncorrected formation energy = -0.494 eV per atom
energy = -49.69 eV/cell
SG = No. 2
crystal system = triclinic

=====

5.
TaV4S8 | PBE-GGA | relaxed

Cell and atoms, written as POSCAR:
```
TaV4S8
1.0
6.945 0.000 0.000
3.472 6.014 0.000
3.472 2.005 5.670
Ta V S
1 4 8
direct
0.750 0.750 0.750
0.950 0.350 0.350
0.350 0.950 0.350
0.350 0.350 0.950
0.350 0.350 0.350
0.636 0.121 0.121
0.121 0.636 0.121
0.121 0.121 0.636
0.121 0.121 0.121
0.159 0.614 0.614
0.614 0.159 0.614
0.614 0.614 0.159
0.614 0.614 0.614
```

Computed properties:
total magnetic moment = 3.1 μB per cell
N(E_F) = 3.354 states/eV/f.u.
uncorrected formation energy = -0.862 eV per atom
energy = -92.56 eV/cell
SG = No. 216
crystal system = cubic
energy above the lowest structure with this stoichiometry = 0 meV per atom

=====

6.
Ta2VS4 | PBE-GGA | relaxed

Cell and atoms, written as POSCAR:
```
Ta2VS4
1.0
-0.435 -2.695 1.969
4.080 2.047 3.704
-5.906 3.463 0.559
Ta V S
2 1 4
direct
0.752 0.712 0.504
0.248 0.288 0.496
0.000 0.000 0.000
0.863 0.179 0.726
0.137 0.821 0.274
0.609 0.294 0.218
0.391 0.706 0.782
```

Computed properties:
total magnetic moment = 2.1 μB per cell
N(E_F) = 2.584 states/eV/f.u.
uncorrected formation energy = -0.967 eV per atom
energy = -56.10 eV/cell
SG = No. 12
crystal system = monoclinic
energy above the lowest structure with this stoichiometry = 0 meV per atom